U2Fe2Si3: relaxed, PBE. Values from VASP.

Output
- Symmetry: C2/m (12)
- Uncorrected formation energy: -0.416 eV per atom
- M_tot: 0.000 Bohr magnetons per cell
- Final energy: -8.383 eV/atom

Geometry as Quantum ESPRESSO input:
```
&SYSTEM
  ibrav = 0, nat = 7, ntyp = 3
/
ATOMIC_SPECIES
Fe 55.84 Fe.upf
Si 28.09 Si.upf
U 238.03 U.upf
CELL_PARAMETERS angstrom
-0.705 -2.359 2.938
2.253 -2.572 -4.025
3.866 3.355 3.622
ATOMIC_POSITIONS crystal
Fe 0.132 0.265 0.222
Fe 0.868 0.735 0.778
Si 0.384 0.768 0.557
Si 0.616 0.232 0.443
Si 0.500 0.000 0.000
U 0.830 0.659 0.167
U 0.170 0.341 0.833
```